1.
Below is a geometry-optimized LiIr2Br structure, with properties calculated at the PBE level.

Cell and atoms, written as POSCAR:
```
LiIr2Br
1.0
0.000 3.095 3.095
3.095 0.000 3.095
3.095 3.095 0.000
Li Ir Br
1 2 1
direct
0.000 0.000 0.000
0.250 0.250 0.250
0.750 0.750 0.750
0.500 0.500 0.500
```

Results
- Formation energy without anion corrections: 849 meV per atom



2.
Below is a geometry-optimized Cu2SiTc structure, with properties calculated at the PBE level.

Cell and atoms, written as POSCAR:
```
Cu2SiTc
1.0
2.654 0.000 0.000
0.000 4.352 0.000
-0.564 0.000 4.486
Cu Si Tc
2 1 1
direct
0.159 0.000 0.257
0.841 0.000 0.743
0.000 0.500 0.500
0.500 0.500 0.000
```

Results
- Formation energy without anion corrections: 32 meV per atom



Please write out number 2 again, unchanged.
Below is a geometry-optimized Cu2SiTc structure, with properties calculated at the PBE level.

Cell and atoms, written as POSCAR:
```
Cu2SiTc
1.0
2.654 0.000 0.000
0.000 4.352 0.000
-0.564 0.000 4.486
Cu Si Tc
2 1 1
direct
0.159 0.000 0.257
0.841 0.000 0.743
0.000 0.500 0.500
0.500 0.500 0.000
```

Results
- Formation energy without anion corrections: 32 meV per atom



Q: Which of these has the lowest formation energy without anion corrections?
A: Cu2SiTc



Q: Which of these has the lowest formation energy without anion corrections?
A: Cu2SiTc